# BeIr2Cl | the Alexandria database | SCAN | single point on PBEsol structure
# DFT total energy in eV per atom: -38.122
# Raw formation energy in eV per formula unit: 2.04
data_BeIr2Cl
_chemical_formula_sum 'Be1 Ir2 Cl1'
_symmetry_space_group_name_H-M 'P m m m'
_symmetry_Int_Tables_number 47
_symmetry_space_group_name_Hall '-P 2 2'
_cell_length_a 2.7250
_cell_length_b 4.1062
_cell_length_c 4.8292
_cell_angle_alpha 90.00
_cell_angle_beta 90.00
_cell_angle_gamma 90.00
loop_
_atom_site_label
_atom_site_type_symbol
_atom_site_fract_x
_atom_site_fract_y
_atom_site_fract_z
Be1 Be 0.0000 0.0000 0.0000
Ir1 Ir 0.0000 0.5000 0.5000
Ir2 Ir 0.5000 0.5000 0.0000
Cl1 Cl 0.5000 0.0000 0.5000